(1)
This record from Alexandria via LeMat-Bulk describes a relaxed NaPtCl crystal. The functional is PBE.

Results
**M_tot**: 0.0 μB/f.u.
**Energy above the lowest structure with this stoichiometry**: 39.6 kJ/mol of atoms
**Space group**: Pnma
**ΔE_f (raw)**: -1.05 eV per formula unit

Cell: 6.0385 4.4039 10.8961 Å, 90.00 90.00 90.00°
Closest atoms and distances in Å follow each position.
Positions (direct):
Cl (0.2210, 0.2500, 0.8529)  2 Pt 2.28
Cl (0.7790, 0.7500, 0.1471)  2 Pt 2.28
Pt (0.7095, 0.2500, 0.1071)  2 Cl 2.28
Cl (0.7210, 0.2500, 0.6471)  2 Pt 2.28
Pt (0.2905, 0.7500, 0.8929)  2 Cl 2.28
Pt (0.2095, 0.2500, 0.3929)  2 Cl 2.28
Na (0.7880, 0.7500, 0.8828)  1 Cl 2.88, 3 Pt 3.00-3.04
Na (0.2120, 0.2500, 0.1172)  1 Cl 2.88, 3 Pt 3.00-3.04
Na (0.7120, 0.2500, 0.3828)  1 Cl 2.88, 3 Pt 3.00-3.04
Cl (0.2790, 0.7500, 0.3529)  2 Pt 2.28
Pt (0.7905, 0.7500, 0.6071)  2 Cl 2.28
Na (0.2880, 0.7500, 0.6172)  1 Cl 2.88, 3 Pt 3.00-3.04


(2)
This record from Alexandria via LeMat-Bulk describes a relaxed NaPtCl crystal. The functional is PBE.

Results
**M_tot**: 0.0 μB/f.u.
**Energy above the lowest structure with this stoichiometry**: 6.3 kJ/mol of atoms
**Space group**: Cm
**ΔE_f (raw)**: -2.08 eV per formula unit

Cell: 16.6033 8.4480 8.4480 Å, 147.39 159.39 20.61°
Closest atoms and distances in Å follow each position.
Positions (direct):
Na (0.7130, 0.1193, 0.8807)  5 Cl 2.77-3.01, 2 Pt 3.02
Cl (0.2156, 0.1256, 0.8744)  2 Pt 2.52
Pt (0.7191, 0.7288, 0.2712)  2 Cl 2.52, 2 Pt 2.56
Na (0.7226, 0.3399, 0.6601)  2 Cl 2.87, 6 Pt 3.00-3.01
Pt (0.2224, 0.3350, 0.6650)  2 Cl 2.50, 2 Pt 2.56
Cl (0.7254, 0.9364, 0.0636)  2 Pt 2.50, 1 Na 2.77


(3)
This record from Alexandria via LeMat-Bulk describes a relaxed NaPtCl crystal. The functional is PBE.

Results
**M_tot**: 0.0 μB/f.u.
**Energy above the lowest structure with this stoichiometry**: 54.1 kJ/mol of atoms
**Space group**: P6_3/mmc
**ΔE_f (raw)**: -0.60 eV per formula unit

Cell: 4.2378 4.2378 8.3095 Å, 90.00 90.00 120.00°
Closest atoms and distances in Å follow each position.
Positions (direct):
Pt (0.6667, 0.3333, 0.7500)  3 Cl 2.45
Cl (0.3333, 0.6667, 0.7500)  3 Pt 2.45
Cl (0.6667, 0.3333, 0.2500)  3 Pt 2.45
Pt (0.3333, 0.6667, 0.2500)  3 Cl 2.45
Na (0.0000, 0.0000, 0.0000)  6 Cl 3.21, 6 Pt 3.21
Na (0.0000, 0.0000, 0.5000)  6 Pt 3.21, 6 Cl 3.21


(4)
This record from Alexandria via LeMat-Bulk describes a relaxed NaPtCl2 crystal. The functional is PBE.

Results
**M_tot**: 0.0 μB/f.u.
**Energy above the lowest structure with this stoichiometry**: 0.0 kJ/mol of atoms
**Space group**: R-3m
**ΔE_f (raw)**: -2.47 eV per formula unit

Cell: 8.2294 8.2294 8.2294 Å, 25.32 25.32 25.32°
Closest atoms and distances in Å follow each position.
Positions (direct):
Na (0.5000, 0.5000, 0.5000)  6 Cl 2.68
Pt (0.0000, 0.0000, 0.0000)  2 Cl 2.29
Cl (0.0958, 0.0958, 0.0958)  1 Pt 2.29
Cl (0.9042, 0.9042, 0.9042)  1 Pt 2.29


(5)
This record from Alexandria via LeMat-Bulk describes a relaxed NaPtCl crystal. The functional is PBE.

Results
**M_tot**: 0.0 μB/f.u.
**Energy above the lowest structure with this stoichiometry**: 11.7 kJ/mol of atoms
**Space group**: P1
**ΔE_f (raw)**: -1.92 eV per formula unit

Cell: 5.2521 10.9638 3.7597 Å, 80.11 68.98 118.73°
Closest atoms and distances in Å follow each position.
Positions (direct):
Cl (0.2661, 0.2516, 0.5020)  4 Na 2.66-2.70
Na (0.4147, 0.4619, 0.8218)  2 Cl 2.70
Cl (0.1613, 0.8025, 0.2795)  4 Pt 2.51-2.53
Pt (0.7538, 0.7408, 0.0139)  2 Cl 2.53, 2 Pt 2.56
Na (0.0410, 0.0379, 0.2220)  3 Cl 2.66-2.93, 1 Pt 2.92
Pt (0.3935, 0.7361, 0.6968)  2 Cl 2.51, 2 Pt 2.56


(6)
This record from Alexandria via LeMat-Bulk describes a relaxed NaPtCl crystal. The functional is PBE.

Results
**M_tot**: 0.0 μB/f.u.
**Energy above the lowest structure with this stoichiometry**: 4.8 kJ/mol of atoms
**Space group**: C2/m
**ΔE_f (raw)**: -2.13 eV per formula unit

Cell: 8.3505 7.2820 7.2820 Å, 150.70 139.52 40.48°
Closest atoms and distances in Å follow each position.
Positions (direct):
Pt (0.0940, 0.2589, 0.7411)  2 Cl 2.50, 2 Pt 2.56
Na (0.3150, 0.9617, 0.0383)  4 Cl 2.89-3.04, 4 Pt 2.96-3.15
Na (0.6850, 0.0383, 0.9617)  4 Cl 2.89-3.04, 4 Pt 2.96-3.15
Cl (0.2726, 0.7766, 0.2234)  2 Pt 2.50
Pt (0.9060, 0.7411, 0.2589)  2 Cl 2.50, 2 Pt 2.56
Cl (0.7274, 0.2234, 0.7766)  2 Pt 2.50


(7)
This record from Alexandria via LeMat-Bulk describes a relaxed Na3PtCl7 crystal. The functional is PBE.

Results
**M_tot**: 0.1 μB/f.u.
**Space group**: Cm
**ΔE_f (raw)**: -12.91 eV per formula unit

Cell: 7.1016 7.1016 6.7598 Å, 86.96 86.96 75.40°
Closest atoms and distances in Å follow each position.
Positions (direct):
Pt (0.0331, 0.0331, 0.9736)  6 Cl 2.35-2.37
Na (0.8090, 0.2655, 0.4736)  5 Cl 2.60-2.85
Cl (0.3469, 0.9636, 0.8212)  1 Pt 2.35
Na (0.3601, 0.3601, 0.9256)  3 Cl 2.65-2.96
Cl (0.9636, 0.3469, 0.8212)  1 Pt 2.35
Cl (0.4488, 0.4488, 0.5519)  3 Na 2.60-2.65
Cl (0.1065, 0.7205, 0.1319)  1 Pt 2.36
Cl (0.9109, 0.9109, 0.7056)  1 Pt 2.35
Cl (0.7205, 0.1065, 0.1319)  1 Pt 2.36
Na (0.2655, 0.8090, 0.4736)  5 Cl 2.60-2.85
Cl (0.1602, 0.1602, 0.2399)  1 Pt 2.37


(8)
This record from Alexandria via LeMat-Bulk describes a relaxed NaPtCl crystal. The functional is PBE.

Results
**M_tot**: 0.0 μB/f.u.
**Energy above the lowest structure with this stoichiometry**: 0.0 kJ/mol of atoms
**Space group**: P1
**ΔE_f (raw)**: -2.28 eV per formula unit

Cell: 3.5448 11.1960 3.5475 Å, 109.21 90.00 94.21°
Closest atoms and distances in Å follow each position.
Positions (direct):
Na (0.6522, 0.2087, 0.3995)  5 Cl 2.67-2.69
Cl (0.7007, 0.4612, 0.6167)  5 Na 2.67-2.74
Pt (0.2521, 0.8724, 0.5451)  4 Pt 2.59-2.62, 1 Cl 2.66
Pt (0.7310, 0.8054, 0.9757)  4 Pt 2.59-2.62
Na (0.2229, 0.5653, 0.2253)  4 Cl 2.73-2.74
Cl (0.1310, 0.1178, 0.8045)  1 Pt 2.66, 4 Na 2.68-2.69


(9)
This record from Alexandria via LeMat-Bulk describes a relaxed Rb2NaPtCl6 crystal. The functional is PBE.

Results
**M_tot**: 1.0 μB/f.u.
**Space group**: P-3m1
**ΔE_f (raw)**: -12.99 eV per formula unit

Cell: 6.7557 7.1876 7.1876 Å, 120.00 90.00 90.00°
Closest atoms and distances in Å follow each position.
Positions (direct):
Cl (0.7884, 0.1599, 0.3198)  1 Pt 2.45
Cl (0.2116, 0.3198, 0.1599)  1 Pt 2.45
Cl (0.7884, 0.1599, 0.8401)  1 Pt 2.45
Cl (0.2116, 0.8401, 0.1599)  1 Pt 2.45
Pt (0.0000, 0.0000, 0.0000)  6 Cl 2.45
Na (0.5000, 0.0000, 0.0000)  6 Cl 2.79
Rb (0.8181, 0.6667, 0.3333)  9 Cl 3.42-3.60
Rb (0.1819, 0.3333, 0.6667)  9 Cl 3.42-3.60
Cl (0.7884, 0.6802, 0.8401)  1 Pt 2.45
Cl (0.2116, 0.8401, 0.6802)  1 Pt 2.45


(10)
This record from Alexandria via LeMat-Bulk describes a relaxed NaPtSCl2 crystal. The functional is PBE.

Results
**M_tot**: 3.0 μB/f.u.
**Energy above the lowest structure with this stoichiometry**: 116.7 kJ/mol of atoms
**Space group**: P4/mmm
**ΔE_f (raw)**: 3.50 eV per formula unit

Cell: 4.8637 4.8637 5.2223 Å, 90.00 90.00 90.00°
Closest atoms and distances in Å follow each position.
Positions (direct):
S (0.0000, 0.0000, 0.5000)  2 Na 2.61
Na (0.0000, 0.0000, 0.0000)  4 Cl 2.43, 2 S 2.61
Pt (0.5000, 0.5000, 0.5000)  4 S 3.44, 8 Cl 3.57
Cl (0.5000, 0.0000, 0.0000)  2 Na 2.43
Cl (0.0000, 0.5000, 0.0000)  2 Na 2.43


(11)
This record from Alexandria via LeMat-Bulk describes a relaxed NaPtSCl2 crystal. The functional is PBE.

Results
**M_tot**: 0.0 μB/f.u.
**Energy above the lowest structure with this stoichiometry**: 0.0 kJ/mol of atoms
**Space group**: P4/mmm
**ΔE_f (raw)**: -2.55 eV per formula unit

Cell: 5.1624 5.1624 4.5145 Å, 90.00 90.00 90.00°
Closest atoms and distances in Å follow each position.
Positions (direct):
Pt (0.0000, 0.0000, 0.0000)  2 S 2.26
Cl (0.5000, 0.0000, 0.0000)  2 Pt 2.58
Cl (0.0000, 0.5000, 0.0000)  2 Pt 2.58
S (0.0000, 0.0000, 0.5000)  2 Pt 2.26
Na (0.5000, 0.5000, 0.5000)  8 Cl 3.43, 4 S 3.65


(12)
This record from Alexandria via LeMat-Bulk describes a relaxed Na2PtSeCl crystal. The functional is PBE.

Results
**M_tot**: 0.0 μB/f.u.
**Space group**: P4/mmm
**ΔE_f (raw)**: -0.99 eV per formula unit

Cell: 5.7399 4.3837 5.7399 Å, 90.00 90.00 90.00°
Closest atoms and distances in Å follow each position.
Positions (direct):
Pt (0.0000, 0.0000, 0.0000)  2 Cl 2.19
Cl (0.0000, 0.5000, 0.0000)  2 Pt 2.19
Se (0.5000, 0.5000, 0.5000)  8 Na 3.61
Na (0.5000, 0.0000, 0.0000)  2 Pt 2.87
Na (0.0000, 0.0000, 0.5000)  2 Pt 2.87